DFT (SCAN) results for a crystal of BeOs2Au relaxed with PBEsol.

Unit cell a=2.794 b=4.509 c=8.717 alpha=90.00 beta=90.00 gamma=90.00
Space group Cmmm (No. 65)
Inequivalent atoms, fractional coordinates:
Be  0.000  0.000  0.000 x2
Os  0.000  0.500  0.216 x4
Au  0.000  0.000  0.500 x2

raw total energy	-53.882	eV/atom

---

DFT (SCAN) results for a crystal of Be2OsAu relaxed with PBEsol.

Unit cell a=2.878 b=2.878 c=5.613 alpha=90.00 beta=90.00 gamma=90.00
Space group P4/mmm (No. 123)
Inequivalent atoms, fractional coordinates:
Be  0.000  0.000  0.212 x2
Os  0.500  0.500  0.000 x1
Au  0.500  0.500  0.500 x1

raw total energy	-37.729	eV/atom

---

DFT (SCAN) results for a crystal of BeOsAu4 relaxed with PBEsol.

Unit cell a=7.430 b=7.430 c=7.430 alpha=90.00 beta=90.00 gamma=90.00
Space group F-43m (No. 216)
Inequivalent atoms, fractional coordinates:
Be  0.000  0.000  0.000 x4
Os  0.250  0.250  0.750 x4
Au  0.125  0.125  0.375 x16

raw total energy	-57.824	eV/atom

---

DFT (SCAN) results for a crystal of Be3OsAu relaxed with PBEsol.

Unit cell a=4.125 b=4.125 c=4.125 alpha=90.00 beta=90.00 gamma=90.00
Space group Pm-3m (No. 221)
Inequivalent atoms, fractional coordinates:
Be  0.000  0.000  0.500 x3
Os  0.500  0.500  0.500 x1
Au  0.000  0.000  0.000 x1

raw total energy	-29.822	eV/atom

---

DFT (SCAN) results for a crystal of BeSn2OsAu relaxed with PBEsol.

Unit cell a=4.696 b=4.696 c=4.113 alpha=90.00 beta=90.00 gamma=90.00
Space group P4/mmm (No. 123)
Inequivalent atoms, fractional coordinates:
Be  0.000  0.000  0.000 x1
Sn  0.000  0.500  0.000 x2
Os  0.000  0.000  0.500 x1
Au  0.500  0.500  0.500 x1

raw total energy	-42.647	eV/atom

---

DFT (SCAN) results for a crystal of BePAu2 relaxed with PBEsol.

Unit cell a=2.8750 b=2.8750 c=24.4595 alpha=90.00 beta=90.00 gamma=120.00
Space group R-3m (No. 166, hexagonal axes)
Inequivalent atoms, fractional coordinates:
Be  0.0000  0.0000  0.0000 x3
P  0.0000  0.0000  0.5000 x3
Au  0.0000  0.0000  0.2602 x6

raw total energy	-38.092	eV/atom